No. 1
First-principles (meta-GGA SCAN) data for GePb2S at its PBEsol-relaxed geometry, as listed in Alexandria via LeMat-Bulk.

calculated density: 9.3 g cm⁻³
space-group type: Fm-3m, No. 225
calculated volume: 23.13 Å³ per atom
final energy: -44.89 eV/atom
energy relative to the elements, uncorrected: 0.184 eV per atom
spin magnetization: 0.0 μB per cell

Cell: 5.077 5.077 5.077 Å, 60.00 60.00 60.00°
Fractional coordinates of all 4 atoms:
Ge 0.000 0.000 0.000
Pb 0.250 0.250 0.250
Pb 0.750 0.750 0.750
S 0.500 0.500 0.500

No. 2
First-principles (meta-GGA SCAN) data for GePbS2 at its PBEsol-relaxed geometry, as listed in Alexandria via LeMat-Bulk.

calculated density: 6.3 g cm⁻³
space-group type: R-3m, No. 166
calculated volume: 22.54 Å³ per atom
final energy: -28.76 eV/atom
energy relative to the elements, uncorrected: -0.225 eV per atom
spin magnetization: 0.0 μB per cell

Cell: 8.750 8.750 8.750 Å, 23.05 23.05 23.05°
Fractional coordinates of all 4 atoms:
Ge 0.000 0.000 0.000
Pb 0.500 0.500 0.500
S 0.388 0.388 0.388
S 0.612 0.612 0.612

No. 3
First-principles (meta-GGA SCAN) data for GePb2S4 at its PBEsol-relaxed geometry, as listed in Alexandria via LeMat-Bulk.

calculated density: 5.9 g cm⁻³
space-group type: I-42d, No. 122
calculated volume: 24.77 Å³ per atom
final energy: -30.38 eV/atom
energy relative to the lowest polymorph listed for this composition: 9 meV per atom
energy relative to the elements, uncorrected: -0.502 eV per atom
spin magnetization: 0.0 μB per cell

Cell: 12.170 12.170 12.170 Å, 110.05 110.05 108.31°
Fractional coordinates of all 56 atoms:
Ge 0.071 0.824 0.202
Ge 0.128 0.426 0.747
Ge 0.131 0.929 0.753
Ge 0.176 0.378 0.247
Ge 0.574 0.321 0.702
Ge 0.619 0.872 0.298
Ge 0.622 0.869 0.798
Ge 0.679 0.381 0.253
Pb 0.114 0.614 0.500
Pb 0.136 0.125 0.511
Pb 0.212 0.625 0.087
Pb 0.364 0.364 0.000
Pb 0.375 0.138 0.263
Pb 0.375 0.462 0.587
Pb 0.375 0.864 0.989
Pb 0.386 0.886 0.500
Pb 0.538 0.125 0.913
Pb 0.614 0.625 0.489
Pb 0.636 0.636 0.000
Pb 0.862 0.125 0.237
Pb 0.875 0.112 0.737
Pb 0.875 0.386 0.011
Pb 0.875 0.788 0.413
Pb 0.888 0.625 0.763
S 0.067 0.653 0.235
S 0.096 0.395 0.546
S 0.106 0.806 0.031
S 0.124 0.241 0.748
S 0.125 0.743 0.752
S 0.145 0.346 0.046
S 0.168 0.933 0.586
S 0.194 0.225 0.300
S 0.257 0.009 0.383
S 0.300 0.099 0.954
S 0.332 0.597 0.914
S 0.347 0.582 0.414
S 0.403 0.317 0.735
S 0.418 0.832 0.765
S 0.450 0.904 0.299
S 0.493 0.375 0.252
S 0.556 0.356 0.531
S 0.582 0.668 0.265
S 0.605 0.151 0.701
S 0.625 0.876 0.117
S 0.626 0.875 0.617
S 0.644 0.175 0.200
S 0.654 0.700 0.799
S 0.683 0.418 0.086
S 0.759 0.507 0.883
S 0.775 0.075 0.969
S 0.825 0.025 0.469
S 0.849 0.550 0.454
S 0.901 0.855 0.201
S 0.925 0.894 0.700
S 0.975 0.444 0.800
S 0.991 0.374 0.248

No. 4
First-principles (meta-GGA SCAN) data for Tl2GePbS4 at its PBEsol-relaxed geometry, as listed in Alexandria via LeMat-Bulk.

calculated density: 6.6 g cm⁻³
space-group type: P2_1/c, No. 14
calculated volume: 25.76 Å³ per atom
final energy: -35.27 eV/atom
energy relative to the elements, uncorrected: -0.505 eV per atom
spin magnetization: 0.0 μB per cell

Cell: 10.372 8.990 8.860 Å, 90.00 93.73 90.00°
Fractional coordinates of all 32 atoms:
Tl 0.057 0.190 0.070
Tl 0.057 0.310 0.570
Tl 0.227 0.610 0.907
Tl 0.227 0.890 0.407
Tl 0.773 0.110 0.593
Tl 0.773 0.390 0.093
Tl 0.943 0.690 0.430
Tl 0.943 0.810 0.930
Ge 0.260 0.027 0.794
Ge 0.260 0.473 0.294
Ge 0.740 0.527 0.706
Ge 0.740 0.973 0.206
Pb 0.449 0.196 0.100
Pb 0.449 0.304 0.600
Pb 0.551 0.696 0.400
Pb 0.551 0.804 0.900
S 0.076 0.532 0.173
S 0.076 0.968 0.673
S 0.267 0.224 0.322
S 0.267 0.276 0.822
S 0.294 0.564 0.526
S 0.294 0.936 0.026
S 0.425 0.532 0.158
S 0.425 0.968 0.658
S 0.575 0.032 0.342
S 0.575 0.468 0.842
S 0.706 0.064 0.974
S 0.706 0.436 0.474
S 0.733 0.724 0.178
S 0.733 0.776 0.678
S 0.924 0.032 0.327
S 0.924 0.468 0.827

No. 5
First-principles (meta-GGA SCAN) data for Ge3SbPb at its PBEsol-relaxed geometry, as listed in Alexandria via LeMat-Bulk.

calculated density: 6.3 g cm⁻³
space-group type: Pm-3m, No. 221
calculated volume: 28.80 Å³ per atom
final energy: -33.19 eV/atom
energy relative to the elements, uncorrected: 0.873 eV per atom
spin magnetization: 0.0 μB per cell

Cell: 5.242 5.242 5.242 Å, 90.00 90.00 90.00°
Fractional coordinates of all 5 atoms:
Ge 0.000 0.000 0.500
Ge 0.000 0.500 0.000
Ge 0.500 0.000 0.000
Sb 0.000 0.000 0.000
Pb 0.500 0.500 0.500

No. 6
First-principles (meta-GGA SCAN) data for Ge2PbSe2 at its PBEsol-relaxed geometry, as listed in Alexandria via LeMat-Bulk.

calculated density: 7.1 g cm⁻³
space-group type: I4/mmm, No. 139
calculated volume: 23.72 Å³ per atom
final energy: -30.80 eV/atom
energy relative to the elements, uncorrected: 0.028 eV per atom
spin magnetization: 0.0 μB per cell

Cell: 5.678 5.678 5.678 Å, 124.85 124.85 81.79°
Fractional coordinates of all 5 atoms:
Ge 0.152 0.152 0.000
Ge 0.848 0.848 0.000
Pb 0.500 0.500 0.000
Se 0.250 0.750 0.500
Se 0.750 0.250 0.500

No. 7
First-principles (meta-GGA SCAN) data for Tl2GePbSe at its PBEsol-relaxed geometry, as listed in Alexandria via LeMat-Bulk.

calculated density: 7.1 g cm⁻³
space-group type: P4/mmm, No. 123
calculated volume: 35.78 Å³ per atom
final energy: -51.21 eV/atom
energy relative to the elements, uncorrected: 0.724 eV per atom
spin magnetization: 0.0 μB per cell

Cell: 5.704 5.704 5.498 Å, 90.00 90.00 90.00°
Fractional coordinates of all 5 atoms:
Tl 0.000 0.500 0.000
Tl 0.500 0.000 0.000
Ge 0.000 0.000 0.500
Pb 0.500 0.500 0.000
Se 0.500 0.500 0.500

No. 8
First-principles (meta-GGA SCAN) data for SiGe2Pb at its PBEsol-relaxed geometry, as listed in Alexandria via LeMat-Bulk.

calculated density: 7.6 g cm⁻³
space-group type: Fm-3m, No. 225
calculated volume: 20.77 Å³ per atom
final energy: -30.38 eV/atom
energy relative to the elements, uncorrected: 0.612 eV per atom
spin magnetization: 0.0 μB per cell

Cell: 4.898 4.898 4.898 Å, 60.00 60.00 60.00°
Fractional coordinates of all 4 atoms:
Si 0.000 0.000 0.000
Ge 0.250 0.250 0.250
Ge 0.750 0.750 0.750
Pb 0.500 0.500 0.500

No. 9
First-principles (meta-GGA SCAN) data for SnGePb3 at its PBEsol-relaxed geometry, as listed in Alexandria via LeMat-Bulk.

calculated density: 8.4 g cm⁻³
space-group type: Pm-3m, No. 221
calculated volume: 32.21 Å³ per atom
final energy: -56.02 eV/atom
energy of formation: 2.273 eV/f.u.
spin magnetization: 0.0 μB per cell

Cell: 5.440 5.440 5.440 Å, 90.00 90.00 90.00°
Fractional coordinates of all 5 atoms:
Sn 0.000 0.000 0.000
Ge 0.500 0.500 0.500
Pb 0.000 0.500 0.500
Pb 0.500 0.000 0.500
Pb 0.500 0.500 0.000

No. 10
First-principles (meta-GGA SCAN) data for Sn2GeTePb at its PBEsol-relaxed geometry, as listed in Alexandria via LeMat-Bulk.

calculated density: 6.9 g cm⁻³
space-group type: P4/mmm, No. 123
calculated volume: 31.10 Å³ per atom
final energy: -40.37 eV/atom
energy relative to the elements, uncorrected: 0.427 eV per atom
spin magnetization: 0.0 μB per cell

Cell: 5.322 5.322 5.491 Å, 90.00 90.00 90.00°
Fractional coordinates of all 5 atoms:
Sn 0.000 0.500 0.000
Sn 0.500 0.000 0.000
Ge 0.000 0.000 0.000
Te 0.500 0.500 0.500
Pb 0.000 0.000 0.500

No. 11
First-principles (meta-GGA SCAN) data for SrGePb3 at its PBEsol-relaxed geometry, as listed in Alexandria via LeMat-Bulk.

calculated density: 7.7 g cm⁻³
space-group type: Pm-3m, No. 221
calculated volume: 33.71 Å³ per atom
final energy: -53.72 eV/atom
energy of formation: 0.107 eV/f.u.
spin magnetization: 0.0 μB per cell

Cell: 5.524 5.524 5.524 Å, 90.00 90.00 90.00°
Fractional coordinates of all 5 atoms:
Sr 0.000 0.000 0.000
Ge 0.500 0.500 0.500
Pb 0.000 0.500 0.500
Pb 0.500 0.000 0.500
Pb 0.500 0.500 0.000

No. 12
First-principles (meta-GGA SCAN) data for SrGe3Pb at its PBEsol-relaxed geometry, as listed in Alexandria via LeMat-Bulk.

calculated density: 5.3 g cm⁻³
space-group type: Pm-3m, No. 221
calculated volume: 32.43 Å³ per atom
final energy: -29.90 eV/atom
energy of formation: 5.832 eV/f.u.
spin magnetization: 0.0 μB per cell

Cell: 5.453 5.453 5.453 Å, 90.00 90.00 90.00°
Fractional coordinates of all 5 atoms:
Sr 0.000 0.000 0.000
Ge 0.000 0.000 0.500
Ge 0.000 0.500 0.000
Ge 0.500 0.000 0.000
Pb 0.500 0.500 0.500

No. 13
First-principles (meta-GGA SCAN) data for Sr3GePb at its PBEsol-relaxed geometry, as listed in Alexandria via LeMat-Bulk.

calculated density: 3.8 g cm⁻³
space-group type: Pm-3m, No. 221
calculated volume: 47.38 Å³ per atom
final energy: -32.34 eV/atom
energy of formation: 0.011 eV/f.u.
spin magnetization: 1.5 μB per cell

Cell: 6.188 6.188 6.188 Å, 90.00 90.00 90.00°
Fractional coordinates of all 5 atoms:
Sr 0.000 0.000 0.500
Sr 0.000 0.500 0.000
Sr 0.500 0.000 0.000
Ge 0.500 0.500 0.500
Pb 0.000 0.000 0.000

No. 14
First-principles (meta-GGA SCAN) data for SrGePbW2 at its PBEsol-relaxed geometry, as listed in Alexandria via LeMat-Bulk.

calculated density: 10.0 g cm⁻³
space-group type: P4/mmm, No. 123
calculated volume: 24.39 Å³ per atom
final energy: -50.00 eV/atom
energy of formation: 6.513 eV/f.u.
spin magnetization: 0.0 μB per cell

Cell: 4.722 4.722 5.470 Å, 90.00 90.00 90.00°
Fractional coordinates of all 5 atoms:
Sr 0.000 0.000 0.000
Ge 0.000 0.000 0.500
Pb 0.500 0.500 0.000
W 0.000 0.500 0.500
W 0.500 0.000 0.500

No. 15
First-principles (meta-GGA SCAN) data for SrY2GePb at its PBEsol-relaxed geometry, as listed in Alexandria via LeMat-Bulk.

calculated density: 5.1 g cm⁻³
space-group type: P4/mmm, No. 123
calculated volume: 35.17 Å³ per atom
final energy: -33.33 eV/atom
energy of formation: 6.185 eV/f.u.
spin magnetization: 1.0 μB per cell

Cell: 5.543 5.543 5.724 Å, 90.00 90.00 90.00°
Fractional coordinates of all 5 atoms:
Sr 0.000 0.000 0.000
Y 0.000 0.500 0.000
Y 0.500 0.000 0.000
Ge 0.500 0.500 0.500
Pb 0.000 0.000 0.500

No. 16
First-principles (meta-GGA SCAN) data for TcGeTePb2 at its PBEsol-relaxed geometry, as listed in Alexandria via LeMat-Bulk.

calculated density: 7.1 g cm⁻³
space-group type: P4/mmm, No. 123
calculated volume: 33.53 Å³ per atom
final energy: -47.34 eV/atom
energy relative to the elements, uncorrected: 1.248 eV per atom
spin magnetization: 2.9 μB per cell

Cell: 5.868 5.868 4.869 Å, 90.00 90.00 90.00°
Fractional coordinates of all 5 atoms:
Tc 0.000 0.000 0.000
Ge 0.500 0.500 0.000
Te 0.000 0.000 0.500
Pb 0.000 0.500 0.500
Pb 0.500 0.000 0.500

No. 17
First-principles (meta-GGA SCAN) data for Ge2TePb2 at its PBEsol-relaxed geometry, as listed in Alexandria via LeMat-Bulk.

calculated density: 8.7 g cm⁻³
space-group type: I4/mmm, No. 139
calculated volume: 26.28 Å³ per atom
final energy: -45.30 eV/atom
energy relative to the elements, uncorrected: 0.102 eV per atom
spin magnetization: 0.0 μB per cell

Cell: 9.054 9.054 9.054 Å, 155.10 155.10 35.50°
Fractional coordinates of all 5 atoms:
Ge 0.250 0.750 0.500
Ge 0.750 0.250 0.500
Te 0.000 0.000 0.000
Pb 0.393 0.393 0.000
Pb 0.607 0.607 0.000

No. 18
First-principles (meta-GGA SCAN) data for GeTe2Pb at its PBEsol-relaxed geometry, as listed in Alexandria via LeMat-Bulk.

calculated density: 7.4 g cm⁻³
space-group type: P4/mmm, No. 123
calculated volume: 29.86 Å³ per atom
final energy: -42.48 eV/atom
energy relative to the elements, uncorrected: -0.139 eV per atom
spin magnetization: 0.0 μB per cell

Cell: 4.389 4.389 6.201 Å, 90.00 90.00 90.00°
Fractional coordinates of all 4 atoms:
Ge 0.000 0.000 0.000
Te 0.000 0.000 0.500
Te 0.500 0.500 0.000
Pb 0.500 0.500 0.500

No. 19
First-principles (meta-GGA SCAN) data for GeTe4Pb3 at its PBEsol-relaxed geometry, as listed in Alexandria via LeMat-Bulk.

calculated density: 7.9 g cm⁻³
space-group type: P4/mmm, No. 123
calculated volume: 31.63 Å³ per atom
final energy: -49.69 eV/atom
energy relative to the elements, uncorrected: -0.258 eV per atom
spin magnetization: 0.0 μB per cell

Cell: 4.475 4.475 12.636 Å, 90.00 90.00 90.00°
Fractional coordinates of all 8 atoms:
Ge 0.000 0.000 0.000
Te 0.000 0.000 0.238
Te 0.000 0.000 0.762
Te 0.500 0.500 0.000
Te 0.500 0.500 0.500
Pb 0.000 0.000 0.500
Pb 0.500 0.500 0.247
Pb 0.500 0.500 0.753

No. 20
First-principles (meta-GGA SCAN) data for GeTe5Pb4 at its PBEsol-relaxed geometry, as listed in Alexandria via LeMat-Bulk.

calculated density: 8.1 g cm⁻³
space-group type: R-3m, No. 166
calculated volume: 31.74 Å³ per atom
final energy: -51.15 eV/atom
energy relative to the elements, uncorrected: -0.299 eV per atom
spin magnetization: 0.0 μB per cell

Cell: 18.581 18.581 18.581 Å, 13.80 13.80 13.80°
Fractional coordinates of all 10 atoms:
Ge 0.000 0.000 0.000
Te 0.098 0.098 0.098
Te 0.305 0.305 0.305
Te 0.500 0.500 0.500
Te 0.695 0.695 0.695
Te 0.902 0.902 0.902
Pb 0.201 0.201 0.201
Pb 0.396 0.396 0.396
Pb 0.604 0.604 0.604
Pb 0.799 0.799 0.799

No. 21
First-principles (meta-GGA SCAN) data for Ti3GePb at its PBEsol-relaxed geometry, as listed in Alexandria via LeMat-Bulk.

calculated density: 5.5 g cm⁻³
space-group type: Pm-3m, No. 221
calculated volume: 25.71 Å³ per atom
final energy: -27.53 eV/atom
energy of formation: 5.301 eV/f.u.
spin magnetization: 4.1 μB per cell

Cell: 5.047 5.047 5.047 Å, 90.00 90.00 90.00°
Fractional coordinates of all 5 atoms:
Ti 0.000 0.000 0.500
Ti 0.000 0.500 0.000
Ti 0.500 0.000 0.000
Ge 0.500 0.500 0.500
Pb 0.000 0.000 0.000

No. 22
First-principles (meta-GGA SCAN) data for GePd2 at its PBEsol-relaxed geometry, as listed in Alexandria via LeMat-Bulk.

calculated density: 10.8 g cm⁻³
space-group type: P-62m, No. 189
calculated volume: 14.69 Å³ per atom
final energy: -28.80 eV/atom
energy of formation: -1.778 eV/f.u.
spin magnetization: 0.0 μB per cell

Cell: 6.671 6.671 3.431 Å, 90.00 90.00 120.00°
Fractional coordinates of all 9 atoms:
Ge 0.000 0.000 0.000
Ge 0.333 0.667 0.500
Ge 0.667 0.333 0.500
Pd 0.000 0.392 0.000
Pd 0.000 0.731 0.500
Pd 0.269 0.269 0.500
Pd 0.392 0.000 0.000
Pd 0.608 0.608 0.000
Pd 0.731 0.000 0.500

No. 23
First-principles (meta-GGA SCAN) data for Pm2GePd at its PBEsol-relaxed geometry, as listed in Alexandria via LeMat-Bulk.

calculated density: 8.5 g cm⁻³
space-group type: Fm-3m, No. 225
calculated volume: 22.86 Å³ per atom
final energy: -35.77 eV/atom
energy of formation: -3.259 eV/f.u.
spin magnetization: 0.1 μB per cell

Cell: 5.057 5.057 5.057 Å, 60.00 60.00 60.00°
Fractional coordinates of all 4 atoms:
Pm 0.250 0.250 0.250
Pm 0.750 0.750 0.750
Ge 0.000 0.000 0.000
Pd 0.500 0.500 0.500

No. 24
First-principles (meta-GGA SCAN) data for PrGePd at its PBEsol-relaxed geometry, as listed in Alexandria via LeMat-Bulk.

calculated density: 8.6 g cm⁻³
space-group type: C2/m, No. 12
calculated volume: 20.70 Å³ per atom
final energy: -32.69 eV/atom
energy of formation: -2.881 eV/f.u.
spin magnetization: 0.0 μB per cell

Cell: 5.656 5.656 7.301 Å, 128.36 128.36 46.07°
Fractional coordinates of all 6 atoms:
Pr 0.044 0.044 0.305
Pr 0.956 0.956 0.695
Ge 0.341 0.341 0.899
Ge 0.659 0.659 0.101
Pd 0.321 0.321 0.272
Pd 0.679 0.679 0.728